No. 1
The following is a GGA-PBE calculation of NaCd2BiI after structural relaxation, from the Alexandria database.

## Properties
Its calculated total energy is -1.69 eV/atom. For the density of states at the Fermi level, the calculation gives 1.6 states/eV/cell. For the formation energy without anion corrections, the calculation gives 0.026 eV per atom.

abc: 5.937 6.479 5.937
angles: 90.00 90.00 90.00
Sites, in units of the cell vectors:
Na 0.500 0.500 0.500
Cd 0.000 0.000 0.500
I 0.000 0.500 0.000
Cd 0.500 0.000 0.000
Bi 0.000 0.000 0.000


No. 2
The following is a GGA-PBE calculation of Dy5MgRu after structural relaxation, from the Alexandria database.

## Properties
The value obtained for the formation energy is -6.7 kJ/mol of atoms. Its calculated total energy is -4.91 eV/atom. For the density of states at the Fermi level, the calculation gives 13.4 states/eV/cell.

abc: 5.913 5.913 11.896
angles: 77.61 77.61 78.95
Sites, in units of the cell vectors:
Ru 0.000 0.000 0.000
Dy 0.203 0.542 0.568
Dy 0.542 0.203 0.068
Dy 0.458 0.797 0.932
Dy 0.797 0.458 0.432
Ru 0.000 0.000 0.500
Dy 0.021 0.979 0.750
Dy 0.914 0.590 0.122
Mg 0.388 0.612 0.250
Dy 0.086 0.410 0.878
Dy 0.979 0.021 0.250
Mg 0.612 0.388 0.750
Dy 0.590 0.914 0.622
Dy 0.410 0.086 0.378


No. 3
The following is a GGA-PBE calculation of TaFe2Ag after structural relaxation, from the Alexandria database.

## Properties
The value obtained for the formation energy is 36.5 kJ/mol of atoms. Its calculated total energy is -7.53 eV/atom. For the density of states at the Fermi level, the calculation gives 3.8 states/eV/cell.

abc: 9.378 9.378 9.378
angles: 16.89 16.89 16.89
Sites, in units of the cell vectors:
Fe 0.000 0.000 0.000
Ta 0.250 0.250 0.250
Ag 0.750 0.750 0.750
Fe 0.500 0.500 0.500


No. 4
The following is a GGA-PBE calculation of Nd2Er5Tm after structural relaxation, from the Alexandria database.

## Properties
The value obtained for the formation energy is 2.3 kJ/mol of atoms. Its calculated total energy is -4.58 eV/atom. For the density of states at the Fermi level, the calculation gives 22.9 states/eV/cell.

abc: 5.011 7.093 14.194
angles: 90.00 90.00 90.00
Sites, in units of the cell vectors:
Er 0.000 0.500 0.500
Tm 0.000 0.000 0.500
Er 0.000 0.499 0.750
Er 0.000 0.999 0.750
Nd 0.500 0.751 0.375
Er 0.500 0.251 0.375
Er 0.500 0.249 0.875
Er 0.500 0.751 0.125
Nd 0.500 0.251 0.125
Nd 0.500 0.249 0.625
Er 0.000 0.001 0.250
Tm 0.000 0.500 0.000
Er 0.000 0.000 0.000
Nd 0.500 0.749 0.875
Er 0.000 0.501 0.250
Er 0.500 0.749 0.625


No. 5
The following is a GGA-PBE calculation of HfCu4Os after structural relaxation, from the Alexandria database.

## Properties
The value obtained for the formation energy is -5.3 kJ/mol of atoms. Its calculated total energy is -6.32 eV/atom. For the density of states at the Fermi level, the calculation gives 6.4 states/eV/cell.

abc: 4.848 4.848 4.848
angles: 60.00 60.00 60.00
Sites, in units of the cell vectors:
Cu 0.625 0.126 0.625
Hf 0.000 0.000 0.000
Cu 0.625 0.625 0.625
Cu 0.625 0.625 0.126
Os 0.250 0.250 0.250
Cu 0.126 0.625 0.625


No. 6
The following is a GGA-PBE calculation of TaZn2 after structural relaxation, from the Alexandria database.

## Properties
The value obtained for the formation energy is -4.1 kJ/mol of atoms. Its calculated total energy is -4.84 eV/atom. For the density of states at the Fermi level, the calculation gives 2.2 states/eV/cell.

abc: 3.909 3.909 12.588
angles: 98.93 98.93 90.00
Sites, in units of the cell vectors:
Zn 0.666 0.166 0.332
Ta 0.333 0.833 0.665
Zn 0.416 0.416 0.832
Zn 0.501 0.001 0.002
Zn 0.834 0.334 0.668
Ta 0.917 0.917 0.835
Ta 0.083 0.083 0.165
Zn 0.749 0.749 0.498
Ta 0.167 0.667 0.335
Zn 0.999 0.499 0.998
Zn 0.251 0.251 0.502
Zn 0.584 0.584 0.168


No. 7
The following is a GGA-PBE calculation of Pm3Dy2Tm4 after structural relaxation, from the Alexandria database.

## Properties
The value obtained for the formation energy is 10.0 kJ/mol of atoms. Its calculated total energy is -4.49 eV/atom. For the density of states at the Fermi level, the calculation gives 26.1 states/eV/cell.

abc: 6.029 11.197 11.197
angles: 62.17 63.55 63.55
Sites, in units of the cell vectors:
Tm 0.917 0.852 0.582
Tm 0.083 0.148 0.418
Tm 0.417 0.582 0.852
Dy 0.924 0.515 0.246
Dy 0.424 0.246 0.515
Tm 0.078 0.817 0.086
Pm 0.750 0.396 0.604
Dy 0.076 0.485 0.754
Pm 0.255 0.269 0.063
Pm 0.250 0.604 0.396
Pm 0.245 0.937 0.731
Dy 0.576 0.754 0.485
Tm 0.922 0.183 0.914
Pm 0.755 0.063 0.269
Tm 0.422 0.914 0.183
Tm 0.578 0.086 0.817
Tm 0.583 0.418 0.148
Pm 0.745 0.731 0.937


No. 8
The following is a GGA-PBE calculation of Rb2YMnI after structural relaxation, from the Alexandria database.

## Properties
Its calculated total energy is -2.84 eV/atom. For the density of states at the Fermi level, the calculation gives 9.6 states/eV/cell. For the formation energy without anion corrections, the calculation gives 0.983 eV per atom.

abc: 7.068 7.068 4.804
angles: 90.00 90.00 90.00
Sites, in units of the cell vectors:
Rb 0.500 0.000 0.000
Y 0.500 0.500 0.500
Mn 0.000 0.000 0.500
I 0.000 0.000 0.000
Rb 0.000 0.500 0.000


No. 9
The following is a GGA-PBE calculation of Ca6CdHg2 after structural relaxation, from the Alexandria database.

## Properties
The value obtained for the formation energy is -31.3 kJ/mol of atoms. Its calculated total energy is -1.83 eV/atom. For the density of states at the Fermi level, the calculation gives 20.0 states/eV/cell.

abc: 9.206 9.206 9.206
angles: 103.86 111.33 113.37
Sites, in units of the cell vectors:
Ca 0.706 0.369 0.663
Ca 0.294 0.631 0.337
Ca 0.104 0.285 0.819
Hg 0.666 0.000 0.666
Ca 0.535 0.715 0.819
Hg 0.334 0.000 0.334
Ca 0.806 0.755 0.561
Hg 0.500 0.637 0.137
Cd 0.000 0.500 0.500
Ca 0.294 0.958 0.663
Ca 0.465 0.285 0.181
Ca 0.194 0.245 0.439
Cd 0.000 0.000 0.000
Ca 0.806 0.245 0.052
Ca 0.706 0.042 0.337
Ca 0.194 0.755 0.948
Hg 0.500 0.363 0.863
Ca 0.896 0.715 0.181


No. 10
The following is a GGA-PBE calculation of Ac2La2PrHo after structural relaxation, from the Alexandria database.

## Properties
The value obtained for the formation energy is 23.5 kJ/mol of atoms. Its calculated total energy is -4.33 eV/atom. For the density of states at the Fermi level, the calculation gives 20.6 states/eV/cell.

abc: 3.666 6.808 18.872
angles: 90.00 90.00 90.00
Sites, in units of the cell vectors:
Ac 0.500 0.283 0.690
Ac 0.000 0.783 0.810
Pr 0.000 0.000 0.000
La 0.000 0.291 0.863
Ac 0.500 0.717 0.310
Ac 0.000 0.217 0.190
La 0.000 0.709 0.137
Pr 0.500 0.500 0.500
Ho 0.500 0.500 0.000
La 0.500 0.209 0.363
La 0.500 0.791 0.637
Ho 0.000 0.000 0.500